Tb2SmSbO8 | PBE | optimized geometry

Calculated values
**N(E_F)**: 6.4 states/eV per cell
**Space-group type**: P2/m

Cell: 4.124 5.261 7.383 Å, 90.00 90.00 94.11°
Positions (direct):
Tb 0.500 0.500 0.755
Tb 0.500 0.500 0.245
Sm 0.000 0.000 0.500
Sb 0.000 0.000 0.000
O 0.046 0.756 0.215
O 0.573 0.789 0.000
O 0.954 0.244 0.215
O 0.954 0.244 0.785
O 0.427 0.211 0.000
O 0.046 0.756 0.785
O 0.507 0.747 0.500
O 0.493 0.253 0.500

---

TbSmSbO2 | PBE | optimized geometry

Calculated values
**N(E_F)**: 1.5 states/eV per cell
**Space-group type**: I4mm

Cell: 3.910 3.910 7.317 Å, 105.50 105.50 90.00°
Positions (direct):
Tb 0.166 0.166 0.332
Sm 0.836 0.836 0.673
Sb 0.502 0.502 0.004
O 0.748 0.248 0.496
O 0.248 0.748 0.496

---

SmTl2SbO4 | PBE | optimized geometry

Calculated values
**N(E_F)**: 0.3 states/eV per cell
**Space-group type**: Imma

Cell: 7.370 7.370 7.371 Å, 120.00 120.00 89.95°
Positions (direct):
Sm 0.000 0.500 0.000
Sm 0.000 0.500 0.500
Tl 0.500 0.000 0.000
Tl 0.500 0.000 0.500
Tl 0.000 0.000 0.500
Tl 0.500 0.500 0.000
Sb 0.500 0.500 0.500
Sb 0.000 0.000 0.000
O 0.181 0.729 0.955
O 0.771 0.319 0.545
O 0.229 0.681 0.455
O 0.819 0.271 0.045
O 0.772 0.728 0.958
O 0.772 0.728 0.542
O 0.228 0.272 0.458
O 0.228 0.272 0.042

---

SmTmSbO2 | PBE | optimized geometry

Calculated values
**N(E_F)**: 1.4 states/eV per cell
**Space-group type**: I4mm

Cell: 3.872 3.872 7.252 Å, 105.48 105.48 90.00°
Positions (direct):
Sm 0.837 0.837 0.674
Tm 0.168 0.168 0.336
Sb 0.504 0.504 0.007
O 0.746 0.246 0.491
O 0.246 0.746 0.491

---

SnSb4O12 | PBE | optimized geometry

Calculated values
**Space-group type**: Immm

Cell: 6.651 6.651 6.651 Å, 108.23 112.23 107.99°
Positions (direct):
Sn 0.000 0.500 0.500
Sb 0.500 0.000 0.000
Sb 0.000 0.500 0.000
Sb 0.000 0.000 0.500
Sb 0.500 0.500 0.500
O 0.177 0.733 0.910
O 0.061 0.738 0.324
O 0.414 0.738 0.676
O 0.307 0.115 0.808
O 0.693 0.502 0.808
O 0.177 0.267 0.445
O 0.823 0.733 0.555
O 0.693 0.885 0.192
O 0.307 0.498 0.192
O 0.586 0.262 0.324
O 0.939 0.262 0.676
O 0.823 0.267 0.090

---

Sn3SbO | PBE | optimized geometry

Calculated values
**Energy above the lowest structure with this stoichiometry**: 0 meV per atom
**N(E_F)**: 2.3 states/eV per cell
**Space-group type**: Pm-3m

Cell: 4.945 4.945 4.945 Å, 90.00 90.00 90.00°
Positions (direct):
Sb 0.500 0.500 0.500
Sn 0.000 0.500 0.000
Sn 0.000 0.000 0.500
Sn 0.500 0.000 0.000
O 0.000 0.000 0.000

---

SnSbO3 | PBE | optimized geometry

Calculated values
**N(E_F)**: 0.7 states/eV per cell
**Space-group type**: Pm-3m

Cell: 4.152 4.152 4.152 Å, 90.00 90.00 90.00°
Positions (direct):
Sb 0.000 0.000 0.000
Sn 0.500 0.500 0.500
O 0.000 0.500 0.000
O 0.000 0.000 0.500
O 0.500 0.000 0.000

---

Sn3SbO | PBE | optimized geometry

Calculated values
**Energy above the lowest structure with this stoichiometry**: 1324 meV per atom
**N(E_F)**: 5.2 states/eV per cell
**Space-group type**: Pm-3m

Cell: 5.767 5.767 5.767 Å, 90.00 90.00 90.00°
Positions (direct):
Sb 0.000 0.000 0.000
Sn 0.000 0.500 0.000
Sn 0.000 0.000 0.500
Sn 0.500 0.000 0.000
O 0.500 0.500 0.500

---

SnSbO2 | PBE | optimized geometry

Calculated values
**Energy above the lowest structure with this stoichiometry**: 305 meV per atom
**N(E_F)**: 3.1 states/eV per cell
**Space-group type**: I-42d

Cell: 5.501 5.501 6.655 Å, 65.59 65.59 90.00°
Positions (direct):
Sb 0.000 0.000 0.000
Sb 0.750 0.250 0.500
Sn 0.500 0.500 0.000
Sn 0.250 0.750 0.500
O 0.660 0.125 0.250
O 0.090 0.625 0.250
O 0.375 0.340 0.750
O 0.875 0.910 0.750

---

SnSbO2 | PBE | optimized geometry

Calculated values
**Energy above the lowest structure with this stoichiometry**: 0 meV per atom
**N(E_F)**: 2.4 states/eV per cell
**Space-group type**: R-3m

Cell: 7.196 7.196 7.196 Å, 27.20 27.20 27.20°
Positions (direct):
Sb 0.000 0.000 0.000
Sn 0.500 0.500 0.500
O 0.888 0.888 0.888
O 0.112 0.112 0.112

---

SnSbO3 | PBE | optimized geometry

Calculated values
**N(E_F)**: 2.3 states/eV per cell
**Space-group type**: Pm-3m

Cell: 4.079 4.079 4.079 Å, 90.00 90.00 90.00°
Positions (direct):
Sb 0.500 0.500 0.500
Sn 0.000 0.000 0.000
O 0.000 0.500 0.000
O 0.000 0.000 0.500
O 0.500 0.000 0.000

---

Sn2SbO | PBE | optimized geometry

Calculated values
**Energy above the lowest structure with this stoichiometry**: 0 meV per atom
**N(E_F)**: 1.9 states/eV per cell
**Space-group type**: I-42d

Cell: 5.674 5.674 7.819 Å, 68.73 68.73 90.00°
Positions (direct):
Sb 0.000 0.000 0.000
Sb 0.750 0.250 0.500
Sn 0.516 0.125 0.250
Sn 0.234 0.625 0.250
Sn 0.375 0.484 0.750
Sn 0.875 0.766 0.750
O 0.500 0.500 0.000
O 0.250 0.750 0.500

---

SnSbO3 | PBE | optimized geometry

Calculated values
**Space-group type**: C2/m

Cell: 5.742 6.754 5.872 Å, 117.78 119.27 90.00°
Positions (direct):
Sn 0.845 0.006 0.690
Sn 0.155 0.994 0.310
Sb 0.350 0.723 0.699
Sb 0.650 0.277 0.301
O 0.997 0.792 0.436
O 0.074 0.235 0.148
O 0.439 0.792 0.436
O 0.561 0.208 0.564
O 0.003 0.208 0.564
O 0.926 0.765 0.852

---

Sn2SbO6 | PBE | optimized geometry

Calculated values
**N(E_F)**: 3.3 states/eV per cell
**Space-group type**: P4_2/mnm

Cell: 4.883 4.883 9.878 Å, 90.00 90.00 90.00°
Positions (direct):
Sn 0.500 0.500 0.334
Sn 0.500 0.500 0.666
Sn 0.000 0.000 0.166
Sn 0.000 0.000 0.834
Sb 0.500 0.500 0.000
Sb 0.000 0.000 0.500
O 0.693 0.693 0.167
O 0.693 0.693 0.833
O 0.694 0.694 0.500
O 0.806 0.194 0.000
O 0.807 0.193 0.333
O 0.807 0.193 0.667
O 0.193 0.807 0.333
O 0.193 0.807 0.667
O 0.194 0.806 0.000
O 0.306 0.306 0.500
O 0.307 0.307 0.167
O 0.307 0.307 0.833

---

SnSbO2 | PBE | optimized geometry

Calculated values
**Energy above the lowest structure with this stoichiometry**: 641 meV per atom
**N(E_F)**: 1.6 states/eV per cell
**Space-group type**: Fm-3m

Cell: 4.412 4.412 4.412 Å, 60.00 60.00 60.00°
Positions (direct):
Sb 0.500 0.500 0.500
Sn 0.000 0.000 0.000
O 0.250 0.250 0.250
O 0.750 0.750 0.750

---

SnSbO2 | PBE | optimized geometry

Calculated values
**Energy above the lowest structure with this stoichiometry**: 75 meV per atom
**N(E_F)**: 0.9 states/eV per cell
**Space-group type**: R-3m

Cell: 7.347 7.347 7.347 Å, 26.90 26.90 26.90°
Positions (direct):
Sb 0.500 0.500 0.500
Sn 0.000 0.000 0.000
O 0.891 0.891 0.891
O 0.109 0.109 0.109

---

Sn2SbO | PBE | optimized geometry

Calculated values
**Energy above the lowest structure with this stoichiometry**: 394 meV per atom
**N(E_F)**: 3.2 states/eV per cell
**Space-group type**: Fm-3m

Cell: 4.979 4.979 4.979 Å, 60.00 60.00 60.00°
Positions (direct):
Sb 0.500 0.500 0.500
Sn 0.250 0.250 0.250
Sn 0.750 0.750 0.750
O 0.000 0.000 0.000

---

Sr4SnSbO | PBE | optimized geometry

Calculated values
**N(E_F)**: 10.6 states/eV per cell
**Space-group type**: Cmcm

Cell: 7.117 7.104 9.456 Å, 90.00 112.11 90.00°
Positions (direct):
Sr 0.923 0.250 0.846
Sr 0.413 0.750 0.827
Sr 0.077 0.750 0.154
Sr 0.587 0.250 0.173
Sr 0.500 0.500 0.500
Sr 0.000 0.000 0.500
Sr 0.500 0.000 0.500
Sr 0.000 0.500 0.500
Sn 0.611 0.750 0.223
Sn 0.389 0.250 0.777
Sb 0.114 0.250 0.228
Sb 0.886 0.750 0.772
O 0.259 0.750 0.518
O 0.741 0.250 0.482

---

SrSn2SbO8 | PBE | optimized geometry

Calculated values
**N(E_F)**: 0.6 states/eV per cell
**Space-group type**: P2/m

Cell: 4.865 4.844 6.984 Å, 90.00 90.00 87.47°
Positions (direct):
Sr 0.000 0.000 0.500
Sn 0.500 0.500 0.770
Sn 0.500 0.500 0.230
Sb 0.000 0.000 0.000
O 0.193 0.797 0.213
O 0.699 0.709 0.000
O 0.807 0.203 0.213
O 0.807 0.203 0.787
O 0.301 0.291 0.000
O 0.193 0.797 0.787
O 0.642 0.665 0.500
O 0.358 0.335 0.500

---

TaSnSbO6 | PBE | optimized geometry

Calculated values
**Space-group type**: P-31c

Cell: 5.395 5.395 10.525 Å, 90.00 90.00 120.00°
Positions (direct):
Ta 0.333 0.667 0.250
Ta 0.667 0.333 0.750
Sn 0.000 0.000 0.000
Sn 0.000 0.000 0.500
Sb 0.667 0.333 0.250
Sb 0.333 0.667 0.750
O 0.620 0.621 0.145
O 0.001 0.380 0.145
O 0.380 0.001 0.645
O 0.999 0.620 0.855
O 0.379 0.380 0.355
O 0.001 0.621 0.355
O 0.621 0.001 0.855
O 0.620 0.999 0.355
O 0.999 0.379 0.645
O 0.379 0.999 0.145
O 0.621 0.620 0.645
O 0.380 0.379 0.855

---

Summary of formation energy (no corrections) in eV/atom
-2.457 -2.672 -1.497 -2.687 -1.247 -0.245 -1.019 1.080 -0.609 -0.914 -0.861 -0.316 -1.155 -1.493 -0.273 -0.839 0.078 -1.346 -1.587 -1.891
(order as listed above)
Summary of calculated total energy in eV/atom
-7.27 -7.35 -5.67 -7.33 -5.95 -4.46 -5.62 -3.14 -5.12 -5.42 -5.46 -4.59 -5.75 -6.15 -4.78 -5.35 -4.19 -4.18 -6.04 -7.42
(order as listed above)